(1)
# In2IrAu2, optimized geometry, DFT PBE-GGA
# - magnetization (μB/f.u.) = 0.0
# - electronic total energy (eV per atom) = -3.560
data_In2IrAu2
_chemical_formula_sum 'In2 Ir1 Au2'
_cell_length_a 4.101
_cell_length_b 4.101
_cell_length_c 6.804
_cell_angle_alpha 107.54
_cell_angle_beta 107.54
_cell_angle_gamma 90.00
_space_group_name_H-M_alt 'P 1'
_space_group_IT_number 1
loop_
_space_group_symop_operation_xyz
'x,y,z'
loop_
_atom_site_label
_atom_site_type_symbol
_atom_site_fract_x
_atom_site_fract_y
_atom_site_fract_z
Au1 Au 0.604 0.604 0.207
Au2 Au 0.396 0.396 0.793
In1 In 0.750 0.250 0.500
In2 In 0.250 0.750 0.500
Ir1 Ir 0.000 0.000 0.000



(2)
# Hf4Sc2Ni3N3, optimized geometry, DFT PBE-GGA
# - magnetization (μB/f.u.) = 0.0
# - electronic total energy (eV per atom) = -8.857
data_Hf4Sc2Ni3N3
_chemical_formula_sum 'Hf8 Sc4 Ni6 N6'
_cell_length_a 5.469
_cell_length_b 5.469
_cell_length_c 13.723
_cell_angle_alpha 90.32
_cell_angle_beta 101.17
_cell_angle_gamma 119.99
_space_group_name_H-M_alt 'P 1'
_space_group_IT_number 1
loop_
_space_group_symop_operation_xyz
'x,y,z'
loop_
_atom_site_label
_atom_site_type_symbol
_atom_site_fract_x
_atom_site_fract_y
_atom_site_fract_z
Hf1 Hf 0.068 0.204 0.093
Hf2 Hf 0.397 0.860 0.093
Hf3 Hf 0.267 0.304 0.407
Hf4 Hf 0.611 0.976 0.407
Hf5 Hf 0.389 0.024 0.593
Hf6 Hf 0.733 0.696 0.593
Hf7 Hf 0.603 0.140 0.907
Hf8 Hf 0.932 0.796 0.907
N1 N 0.333 0.166 0.000
N2 N 0.000 0.500 0.000
N3 N 0.667 0.834 0.000
N4 N 0.666 0.333 0.500
N5 N 0.000 0.000 0.500
N6 N 0.334 0.667 0.500
Ni1 Ni 0.835 0.103 0.250
Ni2 Ni 0.320 0.070 0.250
Ni3 Ni 0.353 0.585 0.250
Ni4 Ni 0.647 0.415 0.750
Ni5 Ni 0.680 0.930 0.750
Ni6 Ni 0.165 0.897 0.750
Sc1 Sc 0.739 0.539 0.114
Sc2 Sc 0.925 0.625 0.386
Sc3 Sc 0.075 0.375 0.614
Sc4 Sc 0.261 0.461 0.886



(3)
# GdErCu2B2N2, optimized geometry, DFT PBE-GGA
# - magnetization (μB/f.u.) = 0.0
# - electronic total energy (eV per atom) = -6.720
data_GdErCu2B2N2
_chemical_formula_sum 'Gd1 Er1 Cu2 B2 N2'
_cell_length_a 3.504
_cell_length_b 3.504
_cell_length_c 7.703
_cell_angle_alpha 90.00
_cell_angle_beta 90.00
_cell_angle_gamma 90.00
_space_group_name_H-M_alt 'P 1'
_space_group_IT_number 1
loop_
_space_group_symop_operation_xyz
'x,y,z'
loop_
_atom_site_label
_atom_site_type_symbol
_atom_site_fract_x
_atom_site_fract_y
_atom_site_fract_z
B1 B 0.000 0.000 0.325
B2 B 0.500 0.500 0.673
Cu1 Cu 0.500 0.000 0.501
Cu2 Cu 0.000 0.500 0.501
Er1 Er 0.000 0.000 0.836
Gd1 Gd 0.500 0.500 0.166
N1 N 0.000 0.000 0.137
N2 N 0.500 0.500 0.860



(4)
# NiBr3, optimized geometry, DFT PBE-GGA
# - magnetization (μB/f.u.) = 2.1
# - electronic total energy (eV per atom) = -2.689
data_NiBr3
_chemical_formula_sum 'Ni2 Br6'
_cell_length_a 9.289
_cell_length_b 9.289
_cell_length_c 3.231
_cell_angle_alpha 90.00
_cell_angle_beta 90.00
_cell_angle_gamma 120.00
_space_group_name_H-M_alt 'P 1'
_space_group_IT_number 1
loop_
_space_group_symop_operation_xyz
'x,y,z'
loop_
_atom_site_label
_atom_site_type_symbol
_atom_site_fract_x
_atom_site_fract_y
_atom_site_fract_z
Br1 Br 0.215 0.429 0.250
Br2 Br 0.215 0.785 0.250
Br3 Br 0.571 0.785 0.250
Br4 Br 0.429 0.215 0.750
Br5 Br 0.785 0.215 0.750
Br6 Br 0.785 0.571 0.750
Ni1 Ni 0.667 0.333 0.250
Ni2 Ni 0.333 0.667 0.750



- Look up the magnetization of the first one.
  0.0 μB/f.u.



Copy entry 2 word for word.
# Hf4Sc2Ni3N3, optimized geometry, DFT PBE-GGA
# - magnetization (μB/f.u.) = 0.0
# - electronic total energy (eV per atom) = -8.857
data_Hf4Sc2Ni3N3
_chemical_formula_sum 'Hf8 Sc4 Ni6 N6'
_cell_length_a 5.469
_cell_length_b 5.469
_cell_length_c 13.723
_cell_angle_alpha 90.32
_cell_angle_beta 101.17
_cell_angle_gamma 119.99
_space_group_name_H-M_alt 'P 1'
_space_group_IT_number 1
loop_
_space_group_symop_operation_xyz
'x,y,z'
loop_
_atom_site_label
_atom_site_type_symbol
_atom_site_fract_x
_atom_site_fract_y
_atom_site_fract_z
Hf1 Hf 0.068 0.204 0.093
Hf2 Hf 0.397 0.860 0.093
Hf3 Hf 0.267 0.304 0.407
Hf4 Hf 0.611 0.976 0.407
Hf5 Hf 0.389 0.024 0.593
Hf6 Hf 0.733 0.696 0.593
Hf7 Hf 0.603 0.140 0.907
Hf8 Hf 0.932 0.796 0.907
N1 N 0.333 0.166 0.000
N2 N 0.000 0.500 0.000
N3 N 0.667 0.834 0.000
N4 N 0.666 0.333 0.500
N5 N 0.000 0.000 0.500
N6 N 0.334 0.667 0.500
Ni1 Ni 0.835 0.103 0.250
Ni2 Ni 0.320 0.070 0.250
Ni3 Ni 0.353 0.585 0.250
Ni4 Ni 0.647 0.415 0.750
Ni5 Ni 0.680 0.930 0.750
Ni6 Ni 0.165 0.897 0.750
Sc1 Sc 0.739 0.539 0.114
Sc2 Sc 0.925 0.625 0.386
Sc3 Sc 0.075 0.375 0.614
Sc4 Sc 0.261 0.461 0.886



- Which value of magnetization does entry 1 give?
  0.0 μB/f.u.



Repeat the first record exactly.
# In2IrAu2, optimized geometry, DFT PBE-GGA
# - magnetization (μB/f.u.) = 0.0
# - electronic total energy (eV per atom) = -3.560
data_In2IrAu2
_chemical_formula_sum 'In2 Ir1 Au2'
_cell_length_a 4.101
_cell_length_b 4.101
_cell_length_c 6.804
_cell_angle_alpha 107.54
_cell_angle_beta 107.54
_cell_angle_gamma 90.00
_space_group_name_H-M_alt 'P 1'
_space_group_IT_number 1
loop_
_space_group_symop_operation_xyz
'x,y,z'
loop_
_atom_site_label
_atom_site_type_symbol
_atom_site_fract_x
_atom_site_fract_y
_atom_site_fract_z
Au1 Au 0.604 0.604 0.207
Au2 Au 0.396 0.396 0.793
In1 In 0.750 0.250 0.500
In2 In 0.250 0.750 0.500
Ir1 Ir 0.000 0.000 0.000